The following is a GGA-PBE calculation of a geometry-optimized UAlZn structure, from Alexandria via LeMat-Bulk.

Results
ρ (Mg/m³): 9.78
ΔE_f (eV/atom): -0.067
V (Å³/cell): 56

The structure in POSCAR format:
```
UAlZn
1.0
2.873 0.000 0.000
0.000 4.747 0.000
0.000 -2.374 4.111
U Zn Al
1 1 1
Direct
0.333 0.667 0.333
0.833 0.000 0.000
0.833 0.333 0.667
```

The following is a GGA-PBE calculation of a geometry-optimized UAl6Zn12 structure, from Alexandria via LeMat-Bulk.

Results
ρ (Mg/m³): 5.89
ΔE_f (eV/atom): 0.142
V (Å³/cell): 334

The structure in POSCAR format:
```
UAl6Zn12
1.0
7.150 0.101 0.142
-1.675 6.952 0.142
-1.675 -2.158 6.610
Zn Al U
12 6 1
Direct
0.632 0.875 0.632
0.107 0.893 0.500
0.632 0.632 0.875
0.368 0.368 0.125
0.107 0.500 0.893
0.875 0.632 0.632
0.500 0.107 0.893
0.893 0.500 0.107
0.368 0.125 0.368
0.125 0.368 0.368
0.500 0.893 0.107
0.893 0.107 0.500
0.302 0.712 0.302
0.302 0.302 0.712
0.712 0.302 0.302
0.698 0.698 0.288
0.288 0.698 0.698
0.698 0.288 0.698
0.000 0.000 0.000
```

The following is a GGA-PBE calculation of a geometry-optimized UAl2Zn structure, from Alexandria via LeMat-Bulk.

Results
ρ (Mg/m³): 8.58
ΔE_f (eV/atom): -0.019
V (Å³/cell): 69

The structure in POSCAR format:
```
UAl2Zn
1.0
2.786 0.000 0.000
0.000 2.786 0.000
0.000 0.000 8.910
Zn U Al
1 1 2
Direct
0.500 0.500 0.000
0.500 0.500 0.500
0.000 0.000 0.232
0.000 0.000 0.768
```

The following is a GGA-PBE calculation of a geometry-optimized UAl2Zn structure, from Alexandria via LeMat-Bulk.

Results
ρ (Mg/m³): 7.64
ΔE_f (eV/atom): 0.018
V (Å³/cell): 78

The structure in POSCAR format:
```
UAl2Zn
1.0
-0.649 3.890 1.523
0.684 -1.443 3.977
4.180 0.857 -0.408
Al U Zn
2 1 1
Direct
0.000 0.500 0.000
0.000 0.000 0.500
0.500 0.000 0.000
0.500 0.500 0.500
```

The following is a GGA-PBE calculation of a geometry-optimized UAl2Zn10 structure, from Alexandria via LeMat-Bulk.

Results
ρ (Mg/m³): 7.49
ΔE_f (eV/atom): -0.035
V (Å³/cell): 419

The structure in POSCAR format:
```
UAl2Zn10
1.0
2.607 2.941 -5.685
-4.492 -4.388 -2.885
-6.331 6.261 0.335
Zn Al U
20 4 2
Direct
0.521 0.772 0.750
0.385 0.615 0.052
0.772 0.521 0.250
0.854 0.146 0.105
0.219 0.219 0.500
0.479 0.228 0.250
0.781 0.781 0.000
0.615 0.385 0.948
0.607 0.849 0.250
0.854 0.146 0.395
0.385 0.615 0.448
0.393 0.151 0.750
0.781 0.781 0.500
0.219 0.219 0.000
0.151 0.393 0.250
0.849 0.607 0.750
0.146 0.854 0.605
0.146 0.854 0.895
0.615 0.385 0.552
0.228 0.479 0.750
0.500 0.000 0.000
0.500 0.000 0.500
0.000 0.500 0.500
0.000 0.500 0.000
0.864 0.136 0.750
0.136 0.864 0.250
```

The following is a GGA-PBE calculation of a geometry-optimized ZrUAl6 structure, from Alexandria via LeMat-Bulk.

Results
ρ (Mg/m³): 5.57
ΔE_f (eV/atom): -0.310
V (Å³/cell): 146

The structure in POSCAR format:
```
ZrUAl6
1.0
4.176 0.000 0.000
0.000 4.176 0.000
0.000 0.000 8.397
Al U Zr
6 1 1
Direct
0.500 0.500 0.000
0.000 0.500 0.254
0.500 0.000 0.254
0.500 0.500 0.500
0.500 0.000 0.746
0.000 0.500 0.746
0.000 0.000 0.000
0.000 0.000 0.500
```

The following is a GGA-PBE calculation of a geometry-optimized ZrUAl structure, from Alexandria via LeMat-Bulk.

Results
ρ (Mg/m³): 9.32
ΔE_f (eV/atom): -0.058
V (Å³/cell): 127

The structure in POSCAR format:
```
ZrUAl
1.0
-0.733 2.875 -2.944
-0.078 -1.999 -4.901
-6.338 -1.579 -2.931
U Zr Al
2 2 2
Direct
0.641 0.784 0.935
0.359 0.216 0.065
0.333 0.745 0.590
0.667 0.255 0.410
0.002 0.276 0.720
0.998 0.724 0.280
```

The following is a GGA-PBE calculation of a geometry-optimized AlV2 structure, from Alexandria via LeMat-Bulk.

Results
ρ (Mg/m³): 4.91
ΔE_f (eV/atom): 0.073
V (Å³/cell): 87

The structure in POSCAR format:
```
AlV2
1.0
4.976 0.000 0.000
2.488 4.310 0.000
2.488 1.437 4.063
V Al
4 2
Direct
0.625 0.125 0.625
0.625 0.625 0.125
0.625 0.625 0.625
0.125 0.625 0.625
0.000 0.000 0.000
0.250 0.250 0.250
```

The following is a GGA-PBE calculation of a geometry-optimized Al5V3 structure, from Alexandria via LeMat-Bulk.

Results
ρ (Mg/m³): 3.98
ΔE_f (eV/atom): -0.030
V (Å³/cell): 240

The structure in POSCAR format:
```
Al5V3
1.0
-0.267 -1.541 -4.698
2.237 -7.029 -0.431
-6.668 -2.916 -1.274
Al V
10 6
Direct
0.937 0.821 0.304
0.258 0.179 0.304
0.063 0.179 0.696
0.750 0.500 0.500
0.242 0.696 0.821
0.758 0.304 0.179
0.742 0.821 0.696
0.563 0.696 0.179
0.250 0.500 0.500
0.437 0.304 0.821
0.250 0.000 0.000
0.811 0.500 0.879
0.311 0.879 0.500
0.750 0.000 0.000
0.189 0.500 0.121
0.689 0.121 0.500
```

The following is a GGA-PBE calculation of a geometry-optimized Al3V5 structure, from Alexandria via LeMat-Bulk.

Results
ρ (Mg/m³): 4.94
ΔE_f (eV/atom): -0.161
V (Å³/cell): 113

The structure in POSCAR format:
```
Al3V5
1.0
-2.833 -2.274 -0.844
1.450 -2.627 2.215
-3.539 5.396 5.576
Al V
3 5
Direct
0.877 0.877 0.754
0.123 0.123 0.246
0.250 0.750 0.500
0.624 0.624 0.247
0.999 0.499 0.998
0.750 0.250 0.500
0.501 0.001 0.002
0.376 0.376 0.753
```

The following is a GGA-PBE calculation of a geometry-optimized Al4V5 structure, from Alexandria via LeMat-Bulk.

Results
ρ (Mg/m³): 4.67
ΔE_f (eV/atom): -0.167
V (Å³/cell): 129

The structure in POSCAR format:
```
Al4V5
1.0
3.329 0.000 0.616
1.665 6.174 0.308
0.542 0.000 6.379
V Al
5 4
Direct
0.672 0.000 0.656
0.328 0.000 0.344
0.672 0.656 0.000
0.328 0.344 0.000
0.000 0.000 0.000
0.679 0.321 0.321
0.000 0.321 0.679
0.321 0.679 0.679
0.000 0.679 0.321
```

The following is a GGA-PBE calculation of a geometry-optimized Al8V5 structure, from Alexandria via LeMat-Bulk.

Results
E above lowest polymorph (meV per atom): 18
ρ (Mg/m³): 4.02
ΔE_f (eV/atom): -0.206
V (Å³/cell): 389

The structure in POSCAR format:
```
Al8V5
1.0
7.965 0.000 0.000
-2.655 7.509 0.000
-2.655 -3.755 6.503
Al V
16 10
Direct
0.707 0.344 0.000
0.000 0.707 0.344
0.707 0.000 0.344
0.778 0.778 0.778
0.293 0.637 0.293
0.344 0.000 0.707
0.222 0.000 0.000
0.000 0.344 0.707
0.293 0.293 0.637
0.000 0.000 0.222
0.656 0.656 0.363
0.000 0.222 0.000
0.656 0.363 0.656
0.363 0.656 0.656
0.344 0.707 0.000
0.637 0.293 0.293
0.000 0.653 0.653
0.347 0.347 0.347
0.000 0.653 0.000
0.653 0.000 0.000
0.653 0.653 0.000
0.347 0.000 0.347
0.000 0.347 0.347
0.347 0.347 0.000
0.653 0.000 0.653
0.000 0.000 0.653
```